# 1
# Bi2MoOsSe

A relaxed structure of Bi2MoOsSe (PBE-GGA, Alexandria via LeMat-Bulk).

Structure (CIF):
```
data_Bi2MoOsSe
_chemical_formula_sum 'Bi2 Mo1 Os1 Se1'
_space_group_name_H-M_alt 'P 1'
_space_group_IT_number 1
_space_group_name_Hall 'P 1'
_cell_length_a 5.599
_cell_length_b 4.470
_cell_length_c 5.599
_cell_angle_alpha 90.00
_cell_angle_beta 90.00
_cell_angle_gamma 90.00
loop_
_atom_site_label
_atom_site_fract_x
_atom_site_fract_y
_atom_site_fract_z
Os1 0.000 0.500 0.000
Mo1 0.500 0.500 0.500
Bi1 0.000 0.000 0.500
Bi2 0.500 0.000 0.000
Se1 0.000 0.000 0.000
```

**Spin magnetization**: 3.9 μB/f.u.
**Formation energy without anion corrections**: 1.612 eV per atom

***

# 2
# Tl2TeH

A relaxed structure of Tl2TeH (PBE-GGA, Alexandria via LeMat-Bulk).

Structure (CIF):
```
data_Tl2TeH
_chemical_formula_sum 'Tl2 Te1 H1'
_space_group_name_H-M_alt 'P 1'
_space_group_IT_number 1
_space_group_name_Hall 'P 1'
_cell_length_a 5.338
_cell_length_b 5.338
_cell_length_c 5.338
_cell_angle_alpha 60.00
_cell_angle_beta 60.00
_cell_angle_gamma 60.00
loop_
_atom_site_label
_atom_site_fract_x
_atom_site_fract_y
_atom_site_fract_z
Tl1 0.250 0.250 0.250
Te1 0.500 0.500 0.500
H1 0.000 0.000 0.000
Tl2 0.750 0.750 0.750
```

**Spin magnetization**: 0.0 μB/f.u.
**Calculated total energy**: -2.556 eV/atom

***

# 3
# Rb2ZrS

A relaxed structure of Rb2ZrS (PBE-GGA, Alexandria via LeMat-Bulk).

Structure (CIF):
```
data_Rb2ZrS
_chemical_formula_sum 'Rb4 Zr2 S2'
_space_group_name_H-M_alt 'P 1'
_space_group_IT_number 1
_space_group_name_Hall 'P 1'
_cell_length_a 12.898
_cell_length_b 12.898
_cell_length_c 9.452
_cell_angle_alpha 46.97
_cell_angle_beta 46.97
_cell_angle_gamma 90.00
loop_
_atom_site_label
_atom_site_fract_x
_atom_site_fract_y
_atom_site_fract_z
Rb1 0.458 0.125 0.250
S1 0.250 0.750 0.500
Rb2 0.375 0.542 0.750
Rb3 0.875 0.708 0.750
Zr1 0.000 0.000 0.000
S2 0.500 0.500 0.000
Rb4 0.292 0.625 0.250
Zr2 0.750 0.250 0.500
```

**Spin magnetization**: 2.0 μB/f.u.
**Formation energy without anion corrections**: -0.096 eV per atom

***

# 4
# VAuIN2

A relaxed structure of VAuIN2 (PBE-GGA, Alexandria via LeMat-Bulk).

Structure (CIF):
```
data_VAuIN2
_chemical_formula_sum 'V1 Au1 I1 N2'
_space_group_name_H-M_alt 'P 1'
_space_group_IT_number 1
_space_group_name_Hall 'P 1'
_cell_length_a 3.853
_cell_length_b 3.853
_cell_length_c 5.972
_cell_angle_alpha 90.00
_cell_angle_beta 90.00
_cell_angle_gamma 90.00
loop_
_atom_site_label
_atom_site_fract_x
_atom_site_fract_y
_atom_site_fract_z
N1 0.000 0.500 0.000
N2 0.500 0.000 0.000
Au1 0.500 0.500 0.500
V1 0.000 0.000 0.000
I1 0.000 0.000 0.500
```

**Spin magnetization**: 0.3 μB/f.u.
**Formation energy without anion corrections**: 0.591 eV per atom

***

# 5
# BaSbI6

A relaxed structure of BaSbI6 (PBE-GGA, Alexandria via LeMat-Bulk).

Structure (CIF):
```
data_BaSbI6
_chemical_formula_sum 'Ba1 Sb1 I6'
_space_group_name_H-M_alt 'P 1'
_space_group_IT_number 1
_space_group_name_Hall 'P 1'
_cell_length_a 7.683
_cell_length_b 7.753
_cell_length_c 8.497
_cell_angle_alpha 63.51
_cell_angle_beta 63.69
_cell_angle_gamma 60.44
loop_
_atom_site_label
_atom_site_fract_x
_atom_site_fract_y
_atom_site_fract_z
I1 0.415 0.789 0.769
Ba1 0.500 0.500 0.500
I2 0.784 0.027 0.769
I3 0.971 0.587 0.232
I4 0.585 0.211 0.231
Sb1 0.000 0.000 0.000
I5 0.029 0.413 0.768
I6 0.216 0.973 0.231
```

**Spin magnetization**: 0.0 μB/f.u.
**Formation energy without anion corrections**: -0.706 eV per atom

***

# 6
# CaBi3Br

A relaxed structure of CaBi3Br (PBE-GGA, Alexandria via LeMat-Bulk).

Structure (CIF):
```
data_CaBi3Br
_chemical_formula_sum 'Ca1 Bi3 Br1'
_space_group_name_H-M_alt 'P 1'
_space_group_IT_number 1
_space_group_name_Hall 'P 1'
_cell_length_a 5.716
_cell_length_b 5.716
_cell_length_c 5.716
_cell_angle_alpha 90.00
_cell_angle_beta 90.00
_cell_angle_gamma 90.00
loop_
_atom_site_label
_atom_site_fract_x
_atom_site_fract_y
_atom_site_fract_z
Ca1 0.500 0.500 0.500
Bi1 0.000 0.000 0.500
Bi2 0.500 0.000 0.000
Br1 0.000 0.000 0.000
Bi3 0.000 0.500 0.000
```

**Spin magnetization**: 0.0 μB/f.u.
**Formation energy without anion corrections**: 0.271 eV per atom

***

# 7
# Cs2H2Se

A relaxed structure of Cs2H2Se (PBE-GGA, Alexandria via LeMat-Bulk).

Structure (CIF):
```
data_Cs2H2Se
_chemical_formula_sum 'Cs2 H2 Se1'
_space_group_name_H-M_alt 'P 1'
_space_group_IT_number 1
_space_group_name_Hall 'P 1'
_cell_length_a 6.100
_cell_length_b 6.100
_cell_length_c 6.148
_cell_angle_alpha 119.76
_cell_angle_beta 119.76
_cell_angle_gamma 90.00
loop_
_atom_site_label
_atom_site_fract_x
_atom_site_fract_y
_atom_site_fract_z
Se1 0.000 0.000 0.000
Cs1 0.750 0.250 0.500
Cs2 0.250 0.750 0.500
H1 0.789 0.789 0.579
H2 0.211 0.211 0.421
```

**Spin magnetization**: 0.0 μB/f.u.
**Calculated total energy**: -2.790 eV/atom

***

# 8
# Pr2GeAsRh6

A relaxed structure of Pr2GeAsRh6 (PBE-GGA, Alexandria via LeMat-Bulk).

Structure (CIF):
```
data_Pr2GeAsRh6
_chemical_formula_sum 'Pr4 Ge2 As2 Rh12'
_space_group_name_H-M_alt 'P 1'
_space_group_IT_number 1
_space_group_name_Hall 'P 1'
_cell_length_a 5.471
_cell_length_b 8.128
_cell_length_c 8.709
_cell_angle_alpha 90.00
_cell_angle_beta 90.00
_cell_angle_gamma 90.00
loop_
_atom_site_label
_atom_site_fract_x
_atom_site_fract_y
_atom_site_fract_z
Rh1 0.000 0.910 0.750
Pr1 0.000 0.285 0.758
Rh2 0.254 0.511 0.000
Rh3 0.748 0.005 0.000
Ge1 0.500 0.261 0.000
Pr2 0.500 0.715 0.258
As1 0.500 0.248 0.500
Rh4 0.752 0.995 0.500
As2 0.000 0.752 0.000
Rh5 0.248 0.995 0.500
Rh6 0.500 0.090 0.750
Rh7 0.246 0.489 0.500
Ge2 0.000 0.739 0.500
Pr3 0.000 0.285 0.242
Rh8 0.500 0.090 0.250
Rh9 0.746 0.511 0.000
Pr4 0.500 0.715 0.742
Rh10 0.252 0.005 0.000
Rh11 0.000 0.910 0.250
Rh12 0.754 0.489 0.500
```

**Spin magnetization**: 0.0 μB/f.u.
**Calculated total energy**: -6.871 eV/atom

***

Please write out number 1 again, unchanged.
# Bi2MoOsSe

A relaxed structure of Bi2MoOsSe (PBE-GGA, Alexandria via LeMat-Bulk).

Structure (CIF):
```
data_Bi2MoOsSe
_chemical_formula_sum 'Bi2 Mo1 Os1 Se1'
_space_group_name_H-M_alt 'P 1'
_space_group_IT_number 1
_space_group_name_Hall 'P 1'
_cell_length_a 5.599
_cell_length_b 4.470
_cell_length_c 5.599
_cell_angle_alpha 90.00
_cell_angle_beta 90.00
_cell_angle_gamma 90.00
loop_
_atom_site_label
_atom_site_fract_x
_atom_site_fract_y
_atom_site_fract_z
Os1 0.000 0.500 0.000
Mo1 0.500 0.500 0.500
Bi1 0.000 0.000 0.500
Bi2 0.500 0.000 0.000
Se1 0.000 0.000 0.000
```

**Spin magnetization**: 3.9 μB/f.u.
**Formation energy without anion corrections**: 1.612 eV per atom

***

Look up the spin magnetization of the eighth one.
0.0 μB/f.u.

***

Please write out number 8 again, unchanged.
# Pr2GeAsRh6

A relaxed structure of Pr2GeAsRh6 (PBE-GGA, Alexandria via LeMat-Bulk).

Structure (CIF):
```
data_Pr2GeAsRh6
_chemical_formula_sum 'Pr4 Ge2 As2 Rh12'
_space_group_name_H-M_alt 'P 1'
_space_group_IT_number 1
_space_group_name_Hall 'P 1'
_cell_length_a 5.471
_cell_length_b 8.128
_cell_length_c 8.709
_cell_angle_alpha 90.00
_cell_angle_beta 90.00
_cell_angle_gamma 90.00
loop_
_atom_site_label
_atom_site_fract_x
_atom_site_fract_y
_atom_site_fract_z
Rh1 0.000 0.910 0.750
Pr1 0.000 0.285 0.758
Rh2 0.254 0.511 0.000
Rh3 0.748 0.005 0.000
Ge1 0.500 0.261 0.000
Pr2 0.500 0.715 0.258
As1 0.500 0.248 0.500
Rh4 0.752 0.995 0.500
As2 0.000 0.752 0.000
Rh5 0.248 0.995 0.500
Rh6 0.500 0.090 0.750
Rh7 0.246 0.489 0.500
Ge2 0.000 0.739 0.500
Pr3 0.000 0.285 0.242
Rh8 0.500 0.090 0.250
Rh9 0.746 0.511 0.000
Pr4 0.500 0.715 0.742
Rh10 0.252 0.005 0.000
Rh11 0.000 0.910 0.250
Rh12 0.754 0.489 0.500
```

**Spin magnetization**: 0.0 μB/f.u.
**Calculated total energy**: -6.871 eV/atom

***

Which of these has the highest spin magnetization?
Bi2MoOsSe